No. 1
Computed, not measured: a relaxed TaCdSi2 crystal at the PBE-GGA level of DFT.

Calculated values
- Magnetic moment: 0.000 μB/cell
- Space group: Cm
- Energy: -0.4188 Ry per atom
- Formation energy (no corrections): 205 meV per atom

Cell lengths 5.258, 5.258, 4.728 Å; angles 86.99, 86.99, 31.57 degrees
Positions (direct):
1 Ta 0.499 0.499 0.538
2 Si 0.772 0.772 0.708
3 Si 0.990 0.990 0.038
4 Cd 0.239 0.239 0.216


No. 2
Computed, not measured: a relaxed Ta4CdSi crystal at the PBE-GGA level of DFT.

Calculated values
- Magnetic moment: 0.000 μB/cell
- Space group: F-43m
- Energy: -0.6137 Ry per atom
- Formation energy (no corrections): 608 meV per atom

Cell lengths 5.490, 5.490, 5.490 Å; angles 60.00, 60.00, 60.00 degrees
Positions (direct):
1 Ta 0.375 0.375 0.874
2 Ta 0.375 0.375 0.375
3 Ta 0.874 0.375 0.375
4 Ta 0.375 0.874 0.375
5 Si 0.000 0.000 0.000
6 Cd 0.750 0.750 0.750


No. 3
Computed, not measured: a relaxed Ta2CdSi2 crystal at the PBE-GGA level of DFT.

Calculated values
- Magnetic moment: 0.000 μB/cell
- Space group: P4/mbm
- Energy: -0.5269 Ry per atom
- Formation energy (no corrections): -75 meV per atom

Cell lengths 6.908, 6.908, 3.456 Å; angles 90.00, 90.00, 90.00 degrees
Positions (direct):
1 Ta 0.663 0.837 0.500
2 Ta 0.163 0.663 0.500
3 Ta 0.337 0.163 0.500
4 Ta 0.837 0.337 0.500
5 Si 0.373 0.873 0.000
6 Si 0.873 0.627 0.000
7 Si 0.127 0.373 0.000
8 Si 0.627 0.127 0.000
9 Cd 0.500 0.500 0.000
10 Cd 0.000 0.000 0.000


No. 4
Computed, not measured: a relaxed TaCdSi2 crystal at the PBE-GGA level of DFT.

Calculated values
- Magnetic moment: 0.000 μB/cell
- Space group: I-4m2
- Energy: -0.4163 Ry per atom
- Formation energy (no corrections): 240 meV per atom

Cell lengths 5.309, 5.309, 5.309 Å; angles 137.85, 137.87, 61.12 degrees
Positions (direct):
1 Cd 0.250 0.750 0.500
2 Ta 0.500 0.500 0.000
3 Si 0.750 0.250 0.500
4 Si 0.000 0.000 0.000


No. 5
Computed, not measured: a relaxed TaCdSi2 crystal at the PBE-GGA level of DFT.

Calculated values
- Magnetic moment: 0.000 μB/cell
- Space group: Cmmm
- Energy: -0.4164 Ry per atom
- Formation energy (no corrections): 238 meV per atom

Cell lengths 4.861, 4.861, 2.860 Å; angles 90.00, 90.00, 86.84 degrees
Positions (direct):
1 Ta 0.500 0.000 0.500
2 Si 0.000 0.000 0.000
3 Si 0.500 0.500 0.000
4 Cd 0.000 0.500 0.500


No. 6
Computed, not measured: a relaxed TaCdSi2 crystal at the PBE-GGA level of DFT.

Calculated values
- Magnetic moment: 0.000 μB/cell
- Space group: Cmmm
- Energy: -0.4216 Ry per atom
- Formation energy (no corrections): 167 meV per atom

Cell lengths 2.919, 2.919, 8.557 Å; angles 90.00, 90.00, 102.24 degrees
Positions (direct):
1 Cd 0.500 0.500 0.750
2 Si 0.000 0.000 0.471
3 Si 0.000 0.000 0.029
4 Ta 0.500 0.500 0.250


No. 7
Computed, not measured: a relaxed TaCdSi3 crystal at the PBE-GGA level of DFT.

Calculated values
- Magnetic moment: 0.000 μB/cell
- Space group: Pm-3m
- Energy: -0.3795 Ry per atom
- Excess energy over the best structure of this formula in the dataset: 0 meV/atom
- Formation energy (no corrections): 644 meV per atom

Cell lengths 4.944, 4.944, 4.944 Å; angles 90.00, 90.00, 90.00 degrees
Positions (direct):
1 Cd 0.500 0.500 0.500
2 Si 0.500 0.000 0.000
3 Si 0.000 0.500 0.000
4 Si 0.000 0.000 0.500
5 Ta 0.000 0.000 0.000


No. 8
Computed, not measured: a relaxed TaCdSi2 crystal at the PBE-GGA level of DFT.

Calculated values
- Magnetic moment: 0.000 μB/cell
- Space group: R-3m
- Energy: -0.4221 Ry per atom
- Formation energy (no corrections): 161 meV per atom

Cell lengths 8.848, 8.848, 8.848 Å; angles 19.91, 19.91, 19.91 degrees
Positions (direct):
1 Ta 0.250 0.250 0.250
2 Cd 0.750 0.750 0.750
3 Si 0.506 0.506 0.506
4 Si 0.994 0.994 0.994


No. 9
Computed, not measured: a relaxed TaCdSi4 crystal at the PBE-GGA level of DFT.

Calculated values
- Magnetic moment: 0.000 μB/cell
- Space group: F-43m
- Energy: -0.3942 Ry per atom
- Formation energy (no corrections): 379 meV per atom

Cell lengths 5.072, 5.072, 5.072 Å; angles 60.00, 60.00, 60.00 degrees
Positions (direct):
1 Cd 0.000 0.000 0.000
2 Si 0.376 0.376 0.376
3 Si 0.871 0.376 0.376
4 Si 0.376 0.871 0.376
5 Si 0.376 0.376 0.871
6 Ta 0.750 0.750 0.750


No. 10
Computed, not measured: a relaxed TaCdSi2 crystal at the PBE-GGA level of DFT.

Calculated values
- Magnetic moment: 0.000 μB/cell
- Space group: Pmmm
- Energy: -0.4282 Ry per atom
- Formation energy (no corrections): 77 meV per atom

Cell lengths 3.335, 3.498, 5.905 Å; angles 90.00, 90.00, 90.00 degrees
Positions (direct):
1 Si 0.000 0.000 0.464
2 Si 0.000 0.000 0.036
3 Cd 0.500 0.500 0.750
4 Ta 0.500 0.500 0.250


No. 11
Computed, not measured: a relaxed Ta2Cd2Si crystal at the PBE-GGA level of DFT.

Calculated values
- Magnetic moment: 0.000 μB/cell
- Space group: I4/mmm
- Energy: -0.3958 Ry per atom
- Excess energy over the best structure of this formula in the dataset: 0 meV/atom
- Formation energy (no corrections): 806 meV per atom

Cell lengths 3.775, 3.775, 7.982 Å; angles 76.32, 76.32, 90.00 degrees
Positions (direct):
1 Cd 0.407 0.407 0.186
2 Cd 0.593 0.593 0.814
3 Ta 0.250 0.750 0.500
4 Ta 0.750 0.250 0.500
5 Si 0.000 0.000 0.000


No. 12
Computed, not measured: a relaxed TaCdSi2 crystal at the PBE-GGA level of DFT.

Calculated values
- Magnetic moment: 0.000 μB/cell
- Space group: P4/mmm
- Energy: -0.4177 Ry per atom
- Formation energy (no corrections): 221 meV per atom

Cell lengths 2.881, 2.881, 8.572 Å; angles 90.00, 90.00, 90.00 degrees
Positions (direct):
1 Si 0.000 0.000 0.029
2 Si 0.000 0.000 0.471
3 Ta 0.500 0.500 0.250
4 Cd 0.500 0.500 0.750


What is the energy in the sixth record? -0.4216 Ry per atom


Which formula does entry 6 have? TaCdSi2


Look up the energy of the first one. -0.4188 Ry per atom